1.
Density functional theory data (PBE-GGA) for AlCdSi after structural relaxation.

Cell and atoms, written as POSCAR:
```
AlCdSi
1.0
0.000 3.158 3.158
3.158 0.000 3.158
3.158 3.158 0.000
Al Cd Si
1 1 1
direct
0.000 0.000 0.000 Al
0.500 0.500 0.500 Cd
0.750 0.750 0.750 Si
```

Computed properties:
Magnetization   0.000 μB/atom
E_form (uncorrected)   79 kJ/mol of formula units

---

2.
Density functional theory data (PBE-GGA) for Sb2RhIO after structural relaxation.

Cell and atoms, written as POSCAR:
```
Sb2RhIO
1.0
5.063 0.000 0.000
0.000 5.063 0.000
0.000 0.000 5.431
Sb Rh I O
2 1 1 1
direct
0.000 0.500 0.000 Sb
0.500 0.000 0.000 Sb
0.000 0.000 0.000 Rh
0.000 0.000 0.500 I
0.500 0.500 0.500 O
```

Computed properties:
Energy relative to the lowest polymorph listed for this composition   160 kJ/mol of formula units
Magnetization   0.000 μB/atom
E_form (uncorrected)   343 kJ/mol of formula units

---

3.
Density functional theory data (PBE-GGA) for GdLuTcRh after structural relaxation.

Cell and atoms, written as POSCAR:
```
GdLuTcRh
1.0
0.000 3.400 3.400
3.400 0.000 3.400
3.400 3.400 0.000
Gd Lu Tc Rh
1 1 1 1
direct
0.000 0.000 0.000 Gd
0.500 0.500 0.500 Lu
0.750 0.750 0.750 Tc
0.250 0.250 0.250 Rh
```

Computed properties:
Magnetization   1.740 μB/atom
Energy of formation   -0.354 eV/atom